1.
DFT (meta-GGA SCAN) results for a PBEsol-optimized structure of RbBeAsSe2.

D(E_F): 2.70 states/eV/cell
crystal system: tetragonal
raw formation energy: -102 meV per atom
symmetry: No. 123

a b c (Å): 4.4529 4.9529 4.9529
angles (deg): 90.00 90.00 90.00
Sites, in units of the cell vectors:
Rb  0.5000  0.5000  0.5000
Be  0.0000  0.0000  0.0000
Se  0.0000  0.5000  0.0000
Se  0.0000  0.0000  0.5000
As  0.5000  0.0000  0.0000

***

2.
DFT (meta-GGA SCAN) results for a PBEsol-optimized structure of NbSi3Te.

D(E_F): 5.04 states/eV/cell
crystal system: cubic
raw formation energy: 892 meV per atom
symmetry: No. 221
excess energy over the best structure of this formula in the dataset: 0.0 meV per atom

a b c (Å): 4.8967 4.8967 4.8967
angles (deg): 90.00 90.00 90.00
Each line ends with the local moment (μB).
Sites, in units of the cell vectors:
Si  0.5000  0.0000  0.0000  0.02
Nb  0.0000  0.0000  0.0000  0.63
Si  0.0000  0.0000  0.5000  0.02
Te  0.5000  0.5000  0.5000  0.33
Si  0.0000  0.5000  0.0000  0.02

***

3.
DFT (meta-GGA SCAN) results for a PBEsol-optimized structure of Cs3Pr5P6S24.

D(E_F): 0.00 states/eV/cell
crystal system: monoclinic
raw formation energy: -1292 meV per atom
symmetry: No. 9

a b c (Å): 10.4334 10.4334 21.0800
angles (deg): 79.83 79.83 77.96
Sites, in units of the cell vectors:
P  0.1574  0.2384  0.6632
Pr  0.0629  0.8271  0.4333
Pr  0.0672  0.9348  0.7497
P  0.8424  0.7616  0.3371
S  0.1676  0.2962  0.5633
S  0.9514  0.1588  0.0269
Pr  0.1737  0.9379  0.0675
Pr  0.9379  0.1737  0.5675
S  0.3197  0.8281  0.3572
Pr  0.8271  0.0629  0.9333
S  0.0788  0.0879  0.8503
S  0.0637  0.2822  0.1816
S  0.6829  0.1725  0.6439
S  0.0879  0.0788  0.3503
Pr  0.2906  0.5145  0.5747
S  0.6074  0.8147  0.7990
P  0.0798  0.8214  0.6015
S  0.5249  0.3294  0.5207
Pr  0.4848  0.7089  0.9258
P  0.6450  0.3842  0.9036
P  0.3842  0.6450  0.4036
S  0.3294  0.5249  0.0207
P  0.9215  0.1791  0.3990
Cs  0.1883  0.4499  0.2857
S  0.4751  0.6675  0.4798
S  0.6675  0.4751  0.9798
Cs  0.5113  0.0018  0.4686
P  0.8214  0.0798  0.1015
Cs  0.4499  0.1883  0.7857
S  0.5055  0.5224  0.3456
P  0.7616  0.8424  0.8371
S  0.0229  0.6773  0.5647
S  0.4761  0.4942  0.1545
S  0.1873  0.3914  0.7018
P  0.3532  0.6160  0.0966
S  0.5598  0.2208  0.9422
S  0.7168  0.9359  0.3160
S  0.7945  0.0317  0.8037
S  0.5224  0.5055  0.8456
S  0.0490  0.8428  0.9736
Cs  0.8040  0.5523  0.7126
S  0.2076  0.9673  0.1972
Pr  0.5145  0.2906  0.0747
Pr  0.7089  0.4848  0.4258
S  0.0317  0.7945  0.3037
P  0.6160  0.3532  0.5966
S  0.7338  0.2154  0.1614
S  0.9135  0.9225  0.6499
S  0.2154  0.7338  0.6614
S  0.8281  0.3197  0.8572
S  0.8428  0.0490  0.4736
S  0.4942  0.4761  0.6545
S  0.9673  0.2076  0.6972
S  0.4406  0.7781  0.0577
S  0.6773  0.0229  0.0647
Pr  0.9348  0.0672  0.2497
S  0.1588  0.9514  0.5269
S  0.7843  0.2653  0.3395
S  0.1725  0.6829  0.1439
S  0.9359  0.7168  0.8160
S  0.8147  0.6074  0.2990
Cs  0.5523  0.8040  0.2126
P  0.2384  0.1574  0.1632
S  0.7079  0.8286  0.9372
S  0.7781  0.4406  0.5577
S  0.9225  0.9135  0.1499
S  0.8286  0.7079  0.4372
S  0.2653  0.7843  0.8395
Cs  0.0018  0.5113  0.9686
S  0.2208  0.5598  0.4422
S  0.3914  0.1873  0.2018
S  0.2822  0.0637  0.6816
S  0.2962  0.1676  0.0633
S  0.3237  0.9773  0.9357
P  0.1791  0.9215  0.8990
S  0.9773  0.3237  0.4357

***

> The highest D(E_F) belongs to which entry?

NbSi3Te

***

What did the third record say?
DFT (meta-GGA SCAN) results for a PBEsol-optimized structure of Cs3Pr5P6S24.

D(E_F): 0.00 states/eV/cell
crystal system: monoclinic
raw formation energy: -1292 meV per atom
symmetry: No. 9

a b c (Å): 10.4334 10.4334 21.0800
angles (deg): 79.83 79.83 77.96
Sites, in units of the cell vectors:
P  0.1574  0.2384  0.6632
Pr  0.0629  0.8271  0.4333
Pr  0.0672  0.9348  0.7497
P  0.8424  0.7616  0.3371
S  0.1676  0.2962  0.5633
S  0.9514  0.1588  0.0269
Pr  0.1737  0.9379  0.0675
Pr  0.9379  0.1737  0.5675
S  0.3197  0.8281  0.3572
Pr  0.8271  0.0629  0.9333
S  0.0788  0.0879  0.8503
S  0.0637  0.2822  0.1816
S  0.6829  0.1725  0.6439
S  0.0879  0.0788  0.3503
Pr  0.2906  0.5145  0.5747
S  0.6074  0.8147  0.7990
P  0.0798  0.8214  0.6015
S  0.5249  0.3294  0.5207
Pr  0.4848  0.7089  0.9258
P  0.6450  0.3842  0.9036
P  0.3842  0.6450  0.4036
S  0.3294  0.5249  0.0207
P  0.9215  0.1791  0.3990
Cs  0.1883  0.4499  0.2857
S  0.4751  0.6675  0.4798
S  0.6675  0.4751  0.9798
Cs  0.5113  0.0018  0.4686
P  0.8214  0.0798  0.1015
Cs  0.4499  0.1883  0.7857
S  0.5055  0.5224  0.3456
P  0.7616  0.8424  0.8371
S  0.0229  0.6773  0.5647
S  0.4761  0.4942  0.1545
S  0.1873  0.3914  0.7018
P  0.3532  0.6160  0.0966
S  0.5598  0.2208  0.9422
S  0.7168  0.9359  0.3160
S  0.7945  0.0317  0.8037
S  0.5224  0.5055  0.8456
S  0.0490  0.8428  0.9736
Cs  0.8040  0.5523  0.7126
S  0.2076  0.9673  0.1972
Pr  0.5145  0.2906  0.0747
Pr  0.7089  0.4848  0.4258
S  0.0317  0.7945  0.3037
P  0.6160  0.3532  0.5966
S  0.7338  0.2154  0.1614
S  0.9135  0.9225  0.6499
S  0.2154  0.7338  0.6614
S  0.8281  0.3197  0.8572
S  0.8428  0.0490  0.4736
S  0.4942  0.4761  0.6545
S  0.9673  0.2076  0.6972
S  0.4406  0.7781  0.0577
S  0.6773  0.0229  0.0647
Pr  0.9348  0.0672  0.2497
S  0.1588  0.9514  0.5269
S  0.7843  0.2653  0.3395
S  0.1725  0.6829  0.1439
S  0.9359  0.7168  0.8160
S  0.8147  0.6074  0.2990
Cs  0.5523  0.8040  0.2126
P  0.2384  0.1574  0.1632
S  0.7079  0.8286  0.9372
S  0.7781  0.4406  0.5577
S  0.9225  0.9135  0.1499
S  0.8286  0.7079  0.4372
S  0.2653  0.7843  0.8395
Cs  0.0018  0.5113  0.9686
S  0.2208  0.5598  0.4422
S  0.3914  0.1873  0.2018
S  0.2822  0.0637  0.6816
S  0.2962  0.1676  0.0633
S  0.3237  0.9773  0.9357
P  0.1791  0.9215  0.8990
S  0.9773  0.3237  0.4357

***

> What is the raw formation energy in the second record?

892 meV per atom

***

> What is the D(E_F) in the second record?

5.04 states/eV/cell